Entry 1:
Density functional theory data (PBE) for crystalline K4Np3ScS8 at its relaxed geometry.

a b c (Å): 8.0633 8.0633 22.0326
angles (deg): 90.00 90.00 120.00
Space group R-3m (No. 166, hexagonal axes)
Symmetry-distinct sites (fractional):
K1 0.0000 0.0000 0.0000 x3
K2 0.0000 0.5000 0.0000 x9
Np1 0.0000 0.5000 0.5000 x9
Sc1 0.0000 0.0000 0.5000 x3
S1 0.0000 0.0000 0.2337 x6
S2 0.0111 0.5056 0.2326 x18

Computed properties:
Formation energy (no corrections): -1.47 eV per atom

Entry 2:
Density functional theory data (PBE) for crystalline H5S2I2 at its relaxed geometry.

a b c (Å): 13.253 8.183 8.070
angles (deg): 90.00 90.00 90.00
Space group Ima2 (No. 46)
Symmetry-distinct sites (fractional):
H1 0.030 0.109 0.000 x8
H2 0.176 0.728 0.657 x8
H3 0.250 0.573 0.818 x4
S1 0.000 0.000 0.116 x4
S2 0.250 0.605 0.650 x4
I1 0.125 0.010 0.609 x8

Computed properties:
DFT total energy: -3.216 eV per atom

Entry 3:
Density functional theory data (PBE) for crystalline ErLuTlPb at its relaxed geometry.

a b c (Å): 7.581 7.581 7.581
angles (deg): 90.00 90.00 90.00
Space group F-43m (No. 216)
Symmetry-distinct sites (fractional):
Er1 0.000 0.000 0.000 x4
Lu1 0.000 0.000 0.500 x4
Tl1 0.250 0.250 0.750 x4
Pb1 0.250 0.250 0.250 x4

Computed properties:
ΔH_f (0 K): -0.287 eV per atom

Entry 4:
Density functional theory data (PBE) for crystalline PrPaN at its relaxed geometry.

a b c (Å): 3.337 3.337 13.263
angles (deg): 90.00 90.00 90.00
Space group I4mm (No. 107)
Symmetry-distinct sites (fractional):
Pr1 0.000 0.000 0.000 x2
Pa1 0.000 0.000 0.295 x2
N1 0.000 0.000 0.803 x2

Computed properties:
Formation energy (no corrections): -0.65 eV per atom
ΔE to the lowest computed polymorph: 0.114 eV per atom

Entry 5:
Density functional theory data (PBE) for crystalline Mo3Br at its relaxed geometry.

a b c (Å): 3.111 3.119 7.645
angles (deg): 90.00 90.00 90.00
Space group Pmmm (No. 47)
Symmetry-distinct sites (fractional):
Mo1 0.000 0.000 0.000 x1
Mo2 0.500 0.500 0.202 x2
Br1 0.000 0.500 0.500 x1

Computed properties:
Formation energy (no corrections): 0.43 eV per atom
ΔE to the lowest computed polymorph: 0.000 eV per atom

Entry 6:
Density functional theory data (PBE) for crystalline TaSiS2N at its relaxed geometry.

a b c (Å): 4.114 4.114 5.212
angles (deg): 90.00 90.00 90.00
Space group P4/mmm (No. 123)
Symmetry-distinct sites (fractional):
Ta1 0.000 0.000 0.000 x1
Si1 0.000 0.000 0.500 x1
S1 0.000 0.500 0.500 x2
N1 0.500 0.500 0.000 x1

Computed properties:
Formation energy (no corrections): 1.68 eV per atom
ΔE to the lowest computed polymorph: 1.570 eV per atom

Entry 7:
Density functional theory data (PBE) for crystalline PrZr2N4 at its relaxed geometry.

a b c (Å): 3.317 10.940 10.707
angles (deg): 90.00 90.00 90.00
Space group Cmcm (No. 63)
Symmetry-distinct sites (fractional):
Pr1 0.000 0.108 0.250 x4
Zr1 0.000 0.367 0.067 x8
N1 0.000 0.000 0.000 x4
N2 0.000 0.263 0.612 x8
N3 0.000 0.445 0.250 x4

Computed properties:
Formation energy (no corrections): -1.25 eV per atom
ΔE to the lowest computed polymorph: 0.000 eV per atom

Entry 8:
Density functional theory data (PBE) for crystalline CaNb2Ag at its relaxed geometry.

a b c (Å): 3.943 3.943 22.528
angles (deg): 90.00 90.00 90.00
Space group I-42d (No. 122)
Symmetry-distinct sites (fractional):
Ca1 0.000 0.000 0.000 x4
Nb1 0.235 0.750 0.625 x8
Ag1 0.000 0.000 0.500 x4

Computed properties:
ΔE to the lowest computed polymorph: 0.000 eV per atom
ΔH_f (0 K): 0.637 eV per atom

Entry 9:
Density functional theory data (PBE) for crystalline RhC2 at its relaxed geometry.

a b c (Å): 3.6376 3.6376 10.4919
angles (deg): 90.00 90.00 120.00
Space group P6_3/mmc (No. 194)
Symmetry-distinct sites (fractional):
Rh1 0.3333 0.6667 0.0942 x4
C1 0.0000 0.0000 0.0000 x2
C2 0.1331 0.2662 0.2500 x6

Computed properties:
ΔE to the lowest computed polymorph: 0.957 eV per atom
ΔH_f (0 K): 1.418 eV per atom

Entry 10:
Density functional theory data (PBE) for crystalline PmNdPuMg at its relaxed geometry.

a b c (Å): 7.866 7.866 7.866
angles (deg): 90.00 90.00 90.00
Space group F-43m (No. 216)
Symmetry-distinct sites (fractional):
Pm1 0.000 0.000 0.000 x4
Nd1 0.000 0.000 0.500 x4
Pu1 0.250 0.250 0.250 x4
Mg1 0.250 0.250 0.750 x4

Computed properties:
ΔH_f (0 K): 0.148 eV per atom

Entry 11:
Density functional theory data (PBE) for crystalline Re2MoSe at its relaxed geometry.

a b c (Å): 9.313 3.020 4.622
angles (deg): 90.00 105.91 90.00
Space group Cm (No. 8)
Symmetry-distinct sites (fractional):
Re1 0.000 0.000 0.000 x2
Re2 0.235 0.500 0.119 x2
Mo1 0.004 0.500 0.505 x2
Se1 0.250 0.000 0.663 x2

Computed properties:
Formation energy (no corrections): 0.37 eV per atom

Entry 12:
Density functional theory data (PBE) for crystalline LiSbF2 at its relaxed geometry.

a b c (Å): 3.2323 3.2323 19.6805
angles (deg): 90.00 90.00 120.00
Space group R-3m (No. 166, hexagonal axes)
Symmetry-distinct sites (fractional):
Li1 0.0000 0.0000 0.0000 x3
Sb1 0.0000 0.0000 0.5000 x3
F1 0.0000 0.0000 0.3868 x6

Computed properties:
Formation energy (no corrections): -2.12 eV per atom
ΔE to the lowest computed polymorph: 0.000 eV per atom

Entry 13:
Density functional theory data (PBE) for crystalline HoOF at its relaxed geometry.

a b c (Å): 3.8004 3.8004 18.9857
angles (deg): 90.00 90.00 120.00
Space group R-3m (No. 166, hexagonal axes)
Symmetry-distinct sites (fractional):
Ho1 0.0000 0.0000 0.2409 x6
O1 0.0000 0.0000 0.1218 x6
F1 0.0000 0.0000 0.3701 x6

Computed properties:
Formation energy (no corrections): -3.91 eV per atom

Entry 14:
Density functional theory data (PBE) for crystalline Ho6Bi2Pb at its relaxed geometry.

a b c (Å): 6.348 8.317 12.185
angles (deg): 90.00 120.89 90.00
Space group P2_1/c (No. 14)
Symmetry-distinct sites (fractional):
Ho1 0.063 0.211 0.448 x4
Ho2 0.318 0.653 0.455 x4
Ho3 0.370 0.043 0.225 x4
Bi1 0.133 0.111 0.737 x4
Pb1 0.500 0.000 0.500 x2

Computed properties:
ΔH_f (0 K): -0.384 eV per atom

Entry 15:
Density functional theory data (PBE) for crystalline KYTl2 at its relaxed geometry.

a b c (Å): 3.571 5.408 6.907
angles (deg): 90.00 90.00 90.00
Space group Pmm2 (No. 25)
Symmetry-distinct sites (fractional):
K1 0.000 0.000 0.000 x1
Y1 0.500 0.500 0.618 x1
Tl1 0.000 0.000 0.510 x1
Tl2 0.500 0.500 0.170 x1

Computed properties:
ΔE to the lowest computed polymorph: 0.210 eV per atom
ΔH_f (0 K): 0.000 eV per atom

Entry 16:
Density functional theory data (PBE) for crystalline NiMoP2 at its relaxed geometry.

a b c (Å): 8.439 3.122 4.083
angles (deg): 90.00 103.68 90.00
Space group Cm (No. 8)
Symmetry-distinct sites (fractional):
Ni1 0.000 0.000 0.000 x2
Mo1 0.225 0.000 0.602 x2
P1 0.001 0.500 0.509 x2
P2 0.248 0.500 0.114 x2

Computed properties:
ΔH_f (0 K): -0.304 eV per atom

Entry 17:
Density functional theory data (PBE) for crystalline YTeMo2 at its relaxed geometry.

a b c (Å): 8.056 8.056 5.649
angles (deg): 90.00 90.00 90.00
Space group I-42d (No. 122)
Symmetry-distinct sites (fractional):
Y1 0.000 0.000 0.000 x4
Te1 0.000 0.000 0.500 x4
Mo1 0.193 0.250 0.625 x8

Computed properties:
Formation energy (no corrections): 0.77 eV per atom

Entry 18:
Density functional theory data (PBE) for crystalline MnCdSb2 at its relaxed geometry.

a b c (Å): 3.3731 3.3731 28.5466
angles (deg): 90.00 90.00 120.00
Space group R3m (No. 160, hexagonal axes)
Symmetry-distinct sites (fractional):
Mn1 0.0000 0.0000 0.0000 x3
Cd1 0.0000 0.0000 0.2590 x3
Sb1 0.0000 0.0000 0.5039 x3
Sb2 0.0000 0.0000 0.7334 x3

Computed properties:
Formation energy (no corrections): 0.29 eV per atom

Entry 19:
Density functional theory data (PBE) for crystalline P3RhC at its relaxed geometry.

a b c (Å): 3.955 3.955 3.955
angles (deg): 90.00 90.00 90.00
Space group Pm-3m (No. 221)
Symmetry-distinct sites (fractional):
P1 0.000 0.000 0.500 x3
Rh1 0.500 0.500 0.500 x1
C1 0.000 0.000 0.000 x1

Computed properties:
ΔE to the lowest computed polymorph: 0.000 eV per atom
ΔH_f (0 K): 0.880 eV per atom

Entry 20:
Density functional theory data (PBE) for crystalline CeY2VN4 at its relaxed geometry.

a b c (Å): 3.380 11.669 11.786
angles (deg): 90.00 90.00 90.00
Space group Cmcm (No. 63)
Symmetry-distinct sites (fractional):
Ce1 0.000 0.089 0.250 x4
Y1 0.000 0.370 0.043 x8
V1 0.000 0.173 0.750 x4
N1 0.000 0.000 0.000 x4
N2 0.000 0.266 0.627 x8
N3 0.000 0.427 0.250 x4

Computed properties:
Formation energy (no corrections): -1.35 eV per atom